# 1
! TbCePaPb, optimized geometry, DFT PBE; values from VASP
&SYSTEM
  ibrav = 0, nat = 4, ntyp = 4
/
ATOMIC_SPECIES
Pb 207.20 Pb.upf
Pa 231.04 Pa.upf
Tb 158.93 Tb.upf
Ce 140.12 Ce.upf
CELL_PARAMETERS angstrom
-4.169 2.208 -2.639
-4.700 -2.650 -0.329
-4.303 1.777 2.747
ATOMIC_POSITIONS angstrom
Pb -9.878 1.002 -0.166
Pa -3.293 0.334 -0.055
Tb 0.000 0.000 0.000
Ce -6.586 0.668 -0.110
! * calculated formation energy: 0.117 eV/atom

---

# 2
! Al2SbF, optimized geometry, DFT PBE; values from VASP
&SYSTEM
  ibrav = 0, nat = 8, ntyp = 3
/
ATOMIC_SPECIES
Sb 121.76 Sb.upf
Al 26.98 Al.upf
F 19.00 F.upf
CELL_PARAMETERS angstrom
-2.958 2.148 -3.295
-3.588 0.217 3.362
-1.008 7.395 2.050
ATOMIC_POSITIONS angstrom
Sb 0.000 0.000 0.000
Sb -3.619 5.363 -0.606
Al -2.211 2.973 -0.750
Al -3.202 2.498 1.826
Al -3.620 6.458 1.947
Al -6.074 7.591 1.212
F -3.273 1.183 0.034
F -3.934 4.397 2.723
! * offset from the most stable computed form: 0.0 kJ/mol of atoms
! * formation energy from raw total energies: -0.634 eV/atom

---

Calculated volume, 112, 167 Å³ per cell (same order as the records).